(1)
VASP calculation (PBE-GGA) on an optimized crystal structure of BeTlI3. Values from VASP.

Structure (Quantum ESPRESSO input):
```
&SYSTEM
  ibrav = 0, nat = 5, ntyp = 3
/
ATOMIC_SPECIES
I 126.90 I.upf
Be 9.01 Be.upf
Tl 204.38 Tl.upf
ATOMIC_POSITIONS crystal
I 0.000 0.000 0.500
I 0.500 0.000 0.000
I 0.000 0.500 0.000
Be 0.000 0.000 0.000
Tl 0.500 0.500 0.500
CELL_PARAMETERS angstrom
5.449 0.000 0.000
0.000 5.449 0.000
0.000 0.000 5.449
```

Output
Energy above the most stable polymorph in this dataset   290.9 meV per atom
Uncorrected formation energy   -0.278 eV per atom
E_tot   -2.427 eV per atom
Total moment   0.00 μB per atom
Fermi-level density of states   0.386 states/eV per cell

(2)
VASP calculation (PBE-GGA) on an optimized crystal structure of BeTlI3. Values from VASP.

Structure (Quantum ESPRESSO input):
```
&SYSTEM
  ibrav = 0, nat = 5, ntyp = 3
/
ATOMIC_SPECIES
I 126.90 I.upf
Tl 204.38 Tl.upf
Be 9.01 Be.upf
ATOMIC_POSITIONS crystal
I 0.000 0.500 0.000
I 0.500 0.000 0.000
I 0.000 0.000 0.500
Tl 0.000 0.000 0.000
Be 0.500 0.500 0.500
CELL_PARAMETERS angstrom
-1.318 5.502 -2.224
-4.257 0.711 4.282
4.136 2.485 3.698
```

Output
Energy above the most stable polymorph in this dataset   1127.1 meV per atom
Uncorrected formation energy   0.558 eV per atom
E_tot   -1.590 eV per atom
Total moment   0.06 μB per atom
Fermi-level density of states   2.890 states/eV per cell